Computed, not measured: a PBEsol-optimized structure of CaAl2Pt at the SCAN level of DFT.

Structure (POSCAR):
```
CaAl2Pt
1.0
4.969 0.000 0.000
0.000 4.969 0.000
-2.485 -2.485 8.222
Ca Al Pt
2 4 2
direct
0.500 0.500 0.000
0.750 0.250 0.500
0.625 0.875 0.750
0.125 0.875 0.750
0.125 0.875 0.250
0.125 0.375 0.250
0.000 0.000 0.000
0.250 0.750 0.500
```

Electronic total energy (eV for the cell shown): -194.79
Energy relative to the elements (meV/atom): -509.3